Record 1
Computed, not measured: a relaxed structure of HgB4Mo at the PBE-GGA level of DFT.

The structure in extended XYZ format:
```
6
Lattice="1.0103 0.3404 4.7646 -4.1674 1.6325 1.9508 2.0140 -3.7887 -2.3297" Properties=species:S:1:pos:R:3 pbc="T T T"
B 0.2530 -0.6790 2.4261
B -2.3985 0.0062 1.1526
B 1.2555 -1.8220 3.2331
B -1.3961 -1.1367 1.9596
Hg 0.0000 0.0000 0.0000
Mo -1.5785 0.9865 3.3577
```

symmetry	Immm

Record 2
Computed, not measured: a relaxed structure of ZrAs at the PBE-GGA level of DFT.

The structure in extended XYZ format:
```
16
Lattice="5.1966 0.0000 0.0000 0.0000 13.0785 0.0000 0.0000 0.0000 4.9688" Properties=species:S:1:pos:R:3 pbc="T T T"
As 5.1640 2.5499 0.0000
As 2.3235 4.9044 0.0000
As 5.1640 7.2590 0.0000
As 2.7420 11.4437 0.0000
As 1.7645 0.7201 2.4844
As 4.1863 4.9044 2.4844
As 1.7645 9.0887 2.4844
As 4.6054 11.4437 2.4844
Zr 2.5905 1.4480 0.0000
Zr 2.5905 8.3609 0.0000
Zr 0.1081 10.0660 0.0000
Zr 0.1081 12.8213 0.0000
Zr 4.3382 1.8217 2.4844
Zr 1.6245 3.5262 2.4844
Zr 1.6245 6.2827 2.4844
Zr 4.3382 7.9871 2.4844
```

symmetry	Pmmn

Record 3
Computed, not measured: a relaxed structure of MgCuHgAs at the PBE-GGA level of DFT.

The structure in extended XYZ format:
```
4
Lattice="-0.9498 -3.7101 2.7326 -4.3322 -0.5958 1.7352 -2.7245 -3.4774 -1.6183" Properties=species:S:1:pos:R:3 pbc="T T T"
As 0.0000 0.0000 0.0000
Cu -6.0049 -5.8375 2.1372
Hg -4.0032 -3.8917 1.4248
Mg -2.0016 -1.9458 0.7124
```

symmetry	F-43m

Record 4
Computed, not measured: a relaxed structure of Nd2Au2O5 at the PBE-GGA level of DFT.

The structure in extended XYZ format:
```
9
Lattice="-6.6243 1.7686 1.9330 -1.2625 -0.3641 -3.9935 -0.8927 -4.0562 0.6520" Properties=species:S:1:pos:R:3 pbc="T T T"
Au -2.3543 -1.8693 -1.2982
Au -6.4252 -0.7824 -0.1104
Nd 0.0000 0.0000 0.0000
Nd -3.3122 0.8843 0.9665
O -2.1385 0.2204 -1.5570
O -5.7484 1.1842 -0.5036
O -1.9536 -1.6257 0.7658
O -5.5635 -0.6619 1.8191
O -4.3898 -1.3258 -0.7043
```

symmetry	P4/mmm

Record 5
Computed, not measured: a relaxed structure of RbLiPu at the PBE-GGA level of DFT.

The structure in extended XYZ format:
```
3
Lattice="2.7673 -4.9727 -0.4024 -2.8556 -4.9071 0.5601 -0.8160 -3.3595 -4.5382" Properties=species:S:1:pos:R:3 pbc="T T T"
Li -0.2261 -3.3098 -1.0951
Pu -0.6782 -9.9295 -3.2854
Rb 0.0000 0.0000 0.0000
```

symmetry	F-43m

Record 6
Computed, not measured: a relaxed structure of NbHg3S4 at the PBE-GGA level of DFT.

The structure in extended XYZ format:
```
8
Lattice="-5.2232 4.2248 -1.2951 0.7156 -1.1699 -6.7028 -4.3605 -5.2526 0.4513" Properties=species:S:1:pos:R:3 pbc="T T T"
Hg -2.6116 2.1124 -0.6475
Hg 0.3578 -0.5850 -3.3514
Hg -2.1803 -2.6263 0.2256
Nb 0.0000 0.0000 0.0000
S -1.7504 -0.4338 -1.4895
S -4.4786 1.4152 -6.3302
S -7.5509 -1.0559 -2.0002
S -3.9565 -4.3210 -5.2732
```

symmetry	P-43m

Record 7
Computed, not measured: a relaxed structure of BeZn2Hg at the PBE-GGA level of DFT.

The structure in extended XYZ format:
```
4
Lattice="0.0000 3.1263 3.1263 3.1263 0.0000 3.1263 3.1263 3.1263 0.0000" Properties=species:S:1:pos:R:3 pbc="T T T"
Be 3.1263 3.1263 3.1263
Hg 1.5631 1.5631 1.5631
Zn 0.0000 0.0000 0.0000
Zn 4.6894 4.6894 4.6894
```

symmetry	F-43m

Record 8
Computed, not measured: a relaxed structure of Nd2Mg4NiIr at the PBE-GGA level of DFT.

The structure in extended XYZ format:
```
8
Lattice="8.3387 0.0000 0.0000 0.0000 2.0905 5.1673 0.0000 -2.0905 5.1673" Properties=species:S:1:pos:R:3 pbc="T T T"
Ir 0.0000 0.0000 2.3981
Mg 2.5635 0.0000 3.5888
Mg 5.7753 0.0000 3.5888
Mg 1.6373 0.0000 6.7561
Mg 6.7015 0.0000 6.7561
Nd 4.1694 0.0000 0.6392
Nd 0.0000 0.0000 9.6648
Ni 4.1694 0.0000 7.9468
```

symmetry	Amm2

Record 9
Computed, not measured: a relaxed structure of RbCoP2Ir at the PBE-GGA level of DFT.

The structure in extended XYZ format:
```
5
Lattice="-0.8724 -6.2207 3.9620 -5.1209 -5.3309 0.7166 4.2016 4.3539 -4.3065" Properties=species:S:1:pos:R:3 pbc="T T T"
Co -2.9967 -5.7758 2.3393
Ir 0.0000 0.0000 0.0000
P -1.0067 -1.5429 -1.3679
P -2.9093 -5.2100 0.1173
Rb 0.1663 -3.8213 0.9974
```

symmetry	I-4m2

Record 10
Computed, not measured: a relaxed structure of Ta2AgSe2S4 at the PBE-GGA level of DFT.

The structure in extended XYZ format:
```
9
Lattice="-3.2491 -4.8982 3.2231 -0.6980 -4.1820 5.1924 -3.8595 9.6607 1.4862" Properties=species:S:1:pos:R:3 pbc="T T T"
Ag 0.0000 0.0000 0.0000
S -1.3893 -0.5559 2.0019
S -3.0637 1.4391 3.4454
S -4.7429 -0.8586 6.4563
S -6.4172 1.1363 7.8998
Se -1.0462 2.3610 0.4967
Se -6.7603 -1.7805 9.4050
Ta -3.8613 -3.3135 6.2071
Ta -3.9453 3.8940 3.6946
```

symmetry	C2/m

Record 11
Computed, not measured: a relaxed structure of Tc2TeCSe at the PBE-GGA level of DFT.

The structure in extended XYZ format:
```
5
Lattice="-1.7214 1.9343 -2.1392 -1.1885 -3.0211 0.8614 -4.6443 3.8976 7.2615" Properties=species:S:1:pos:R:3 pbc="T T T"
C -0.1280 0.1075 0.2002
Se -4.8229 3.0344 3.9879
Tc -1.9457 0.6199 -0.5106
Tc -5.4165 2.0299 6.1941
Te -2.7953 -0.1699 2.0957
```

symmetry	P3m1

Record 12
Computed, not measured: a relaxed structure of DyFeB4 at the PBE-GGA level of DFT.

The structure in extended XYZ format:
```
6
Lattice="3.1351 0.0000 0.0000 -1.5675 2.7150 0.0000 0.0000 0.0000 6.6234" Properties=species:S:1:pos:R:3 pbc="T T T"
B 1.5675 0.9050 1.9520
B 0.0000 1.8100 1.9520
B 1.5675 0.9050 4.6715
B 0.0000 1.8100 4.6715
Dy 0.0000 0.0000 0.0000
Fe 0.0000 0.0000 3.3117
```

symmetry	P6/mmm

Number 1: DFT total energy -5.827 eV/atom. Number 2: DFT total energy -7.067 eV/atom. Number 3: DFT total energy -2.553 eV/atom. Number 4: DFT total energy -5.927 eV/atom. Number 5: DFT total energy -4.498 eV/atom. Number 6: DFT total energy -3.586 eV/atom. Number 7: DFT total energy -1.265 eV/atom. Number 8: DFT total energy -4.113 eV/atom. Number 9: DFT total energy -6.152 eV/atom. Number 10: DFT total energy -6.208 eV/atom. Number 11: DFT total energy -7.296 eV/atom. Number 12: DFT total energy -6.947 eV/atom.